! NdHoFe2Si2 | OQMD via LeMat-Bulk | GGA-PBE | relaxed; values from VASP
&SYSTEM
  ibrav = 0, nat = 6, ntyp = 4
/
ATOMIC_SPECIES
Fe 55.84 Fe.upf
Si 28.09 Si.upf
Ho 164.93 Ho.upf
Nd 144.24 Nd.upf
ATOMIC_POSITIONS crystal
Fe 0.000 0.500 0.994
Fe 0.500 0.000 0.994
Si 0.000 0.000 0.823
Si 0.500 0.500 0.168
Ho 0.500 0.500 0.693
Nd 0.000 0.000 0.328
CELL_PARAMETERS angstrom
4.036 0.000 0.000
0.000 4.036 0.000
0.000 0.000 6.652
! SG: No. 99
! Calculated density in g/cm³: 7.31
! Total energy in eV/cell: -40.44